[1]
## SmAgHg (GGA-PBE)

Data for an optimized crystal structure of SmAgHg.

The space group is P-6m2 (No. 187) and the conventional cell measures 4.9226, 4.9226 and 3.4019 Å, with angles of 90.00, 90.00 and 120.00 degrees. The inequivalent atoms are Sm at (0.0000, 0.0000, 0.0000), Ag at (0.6667, 0.3333, 0.5000) and Hg at (0.3333, 0.6667, 0.5000).

For the volume, the calculation gives 23.80 Å³/atom. The value obtained for the formation energy is -0.38 eV per atom. The calculation puts the uncorrected energy at -8.98 eV for the cell shown.


[2]
## AgSn2Hg (GGA-PBE)

Data for an optimized crystal structure of AgSn2Hg.

The space group is F-43m (No. 216) and the conventional cell measures 7.316, 7.316 and 7.316 Å, with angles of 90.00, 90.00 and 90.00 degrees. The inequivalent atoms are Ag at (0.000, 0.000, 0.000), Sn at (0.000, 0.000, 0.500), Sn at (0.250, 0.250, 0.750) and Hg at (0.250, 0.250, 0.250).

For the volume, the calculation gives 24.48 Å³/atom. The calculation puts the uncorrected energy at -42.45 eV for the cell shown.


[3]
## AgSnHg (GGA-PBE)

Data for an optimized crystal structure of AgSnHg.

The space group is Pnma (No. 62) and the conventional cell measures 6.333, 4.460 and 9.791 Å, with angles of 90.00, 90.00 and 90.00 degrees. The inequivalent atoms are Ag at (0.119, 0.250, 0.231), Sn at (0.164, 0.250, 0.557) and Hg at (0.146, 0.250, 0.876).

The excess energy over the best structure of this formula in the dataset comes out at 41 meV per atom. For the volume, the calculation gives 23.04 Å³/atom. The calculation puts the uncorrected energy at -27.26 eV for the cell shown.


[4]
## AgSnHg (GGA-PBE)

Data for an optimized crystal structure of AgSnHg.

The space group is Pnma (No. 62) and the conventional cell measures 7.081, 4.332 and 8.930 Å, with angles of 90.00, 90.00 and 90.00 degrees. The inequivalent atoms are Ag at (0.136, 0.250, 0.232), Sn at (0.120, 0.250, 0.894) and Hg at (0.130, 0.250, 0.561).

The excess energy over the best structure of this formula in the dataset comes out at 40 meV per atom. For the volume, the calculation gives 22.82 Å³/atom. The calculation puts the uncorrected energy at -27.27 eV for the cell shown.


[5]
## AgSnHg2 (GGA-PBE)

Data for an optimized crystal structure of AgSnHg2.

The space group is F-43m (No. 216) and the conventional cell measures 7.246, 7.246 and 7.246 Å, with angles of 90.00, 90.00 and 90.00 degrees. The inequivalent atoms are Ag at (0.000, 0.000, 0.000), Sn at (0.250, 0.250, 0.750), Hg at (0.000, 0.000, 0.500) and Hg at (0.250, 0.250, 0.250).

For the volume, the calculation gives 23.77 Å³/atom. The calculation puts the uncorrected energy at -27.41 eV for the cell shown.


[6]
## AgSnHg (GGA-PBE)

Data for an optimized crystal structure of AgSnHg.

The space group is F-43m (No. 216) and the conventional cell measures 6.704, 6.704 and 6.704 Å, with angles of 90.00, 90.00 and 90.00 degrees. The inequivalent atoms are Ag at (0.000, 0.000, 0.000), Sn at (0.250, 0.250, 0.250) and Hg at (0.250, 0.250, 0.750).

The excess energy over the best structure of this formula in the dataset comes out at 0 meV per atom. For the volume, the calculation gives 25.11 Å³/atom. The calculation puts the uncorrected energy at -27.75 eV for the cell shown.


[7]
## SrAgHg2 (GGA-PBE)

Data for an optimized crystal structure of SrAgHg2.

The space group is F-43m (No. 216) and the conventional cell measures 7.446, 7.446 and 7.446 Å, with angles of 90.00, 90.00 and 90.00 degrees. The inequivalent atoms are Sr at (0.000, 0.000, 0.000), Ag at (0.250, 0.250, 0.250), Hg at (0.000, 0.000, 0.500) and Hg at (0.250, 0.250, 0.750).

For the volume, the calculation gives 25.80 Å³/atom. The calculation puts the uncorrected energy at -25.04 eV for the cell shown.


[8]
## TbAgHg (GGA-PBE)

Data for an optimized crystal structure of TbAgHg.

The space group is F-43m (No. 216) and the conventional cell measures 6.798, 6.798 and 6.798 Å, with angles of 90.00, 90.00 and 90.00 degrees. The inequivalent atoms are Tb at (0.000, 0.000, 0.000), Ag at (0.250, 0.250, 0.750) and Hg at (0.000, 0.000, 0.500).

For the volume, the calculation gives 26.18 Å³/atom. The value obtained for the formation energy is -0.19 eV per atom. The calculation puts the uncorrected energy at -33.28 eV for the cell shown.


[9]
## Tb2AgHg (GGA-PBE)

Data for an optimized crystal structure of Tb2AgHg.

The space group is P4/mmm (No. 123) and the conventional cell measures 5.204, 5.204 and 3.708 Å, with angles of 90.00, 90.00 and 90.00 degrees. The inequivalent atoms are Tb at (0.000, 0.500, 0.000), Ag at (0.000, 0.000, 0.500) and Hg at (0.500, 0.500, 0.500).

For the volume, the calculation gives 25.11 Å³/atom. The value obtained for the formation energy is -0.41 eV per atom. The calculation puts the uncorrected energy at -14.01 eV for the cell shown.


[10]
## Tb5Ag4Hg (GGA-PBE)

Data for an optimized crystal structure of Tb5Ag4Hg.

The space group is P4/mmm (No. 123) and the conventional cell measures 3.654, 3.654 and 18.339 Å, with angles of 90.00, 90.00 and 90.00 degrees. The inequivalent atoms are Tb at (0.000, 0.000, 0.000), Tb at (0.000, 0.000, 0.199), Tb at (0.000, 0.000, 0.397), Ag at (0.500, 0.500, 0.099), Ag at (0.500, 0.500, 0.297) and Hg at (0.500, 0.500, 0.500).

For the volume, the calculation gives 24.48 Å³/atom. The value obtained for the formation energy is -0.36 eV per atom. The calculation puts the uncorrected energy at -38.34 eV for the cell shown.


[11]
## AgHg2Te (GGA-PBE)

Data for an optimized crystal structure of AgHg2Te.

The space group is F-43m (No. 216) and the conventional cell measures 7.368, 7.368 and 7.368 Å, with angles of 90.00, 90.00 and 90.00 degrees. The inequivalent atoms are Ag at (0.000, 0.000, 0.000), Hg at (0.000, 0.000, 0.500), Hg at (0.250, 0.250, 0.250) and Te at (0.250, 0.250, 0.750).

For the volume, the calculation gives 25.00 Å³/atom. The calculation puts the uncorrected energy at -24.01 eV for the cell shown.


[12]
## AgHg2Te2 (GGA-PBE)

Data for an optimized crystal structure of AgHg2Te2.

The space group is I4/mmm (No. 139) and the conventional cell measures 5.361, 5.361 and 10.839 Å, with angles of 90.00, 90.00 and 90.00 degrees. The inequivalent atoms are Ag at (0.000, 0.000, 0.000), Hg at (0.000, 0.500, 0.000) and Te at (0.000, 0.000, 0.252).

For the volume, the calculation gives 31.15 Å³/atom. The calculation puts the uncorrected energy at -17.01 eV for the cell shown.


[13]
## AgHgTe (GGA-PBE)

Data for an optimized crystal structure of AgHgTe.

The space group is F-43m (No. 216) and the conventional cell measures 7.021, 7.021 and 7.021 Å, with angles of 90.00, 90.00 and 90.00 degrees. The inequivalent atoms are Ag at (0.000, 0.000, 0.000), Hg at (0.000, 0.000, 0.500) and Te at (0.250, 0.250, 0.250).

For the volume, the calculation gives 28.84 Å³/atom. The calculation puts the uncorrected energy at -23.53 eV for the cell shown.


[14]
## TlAgHg (GGA-PBE)

Data for an optimized crystal structure of TlAgHg.

The space group is F-43m (No. 216) and the conventional cell measures 6.919, 6.919 and 6.919 Å, with angles of 90.00, 90.00 and 90.00 degrees. The inequivalent atoms are Tl at (0.000, 0.000, 0.000), Ag at (0.250, 0.250, 0.750) and Hg at (0.250, 0.250, 0.250).

For the volume, the calculation gives 27.60 Å³/atom. The calculation puts the uncorrected energy at -19.13 eV for the cell shown.


[15]
## TmAgHg (GGA-PBE)

Data for an optimized crystal structure of TmAgHg.

The space group is F-43m (No. 216) and the conventional cell measures 6.847, 6.847 and 6.847 Å, with angles of 90.00, 90.00 and 90.00 degrees. The inequivalent atoms are Tm at (0.000, 0.000, 0.000), Ag at (0.250, 0.250, 0.750) and Hg at (0.250, 0.250, 0.250).

For the volume, the calculation gives 26.75 Å³/atom. The value obtained for the formation energy is 0.02 eV per atom. The calculation puts the uncorrected energy at -30.19 eV for the cell shown.


[16]
## Tm5Ag4Hg (GGA-PBE)

Data for an optimized crystal structure of Tm5Ag4Hg.

The space group is P4/mmm (No. 123) and the conventional cell measures 3.585, 3.585 and 18.063 Å, with angles of 90.00, 90.00 and 90.00 degrees. The inequivalent atoms are Tm at (0.000, 0.000, 0.000), Tm at (0.000, 0.000, 0.199), Tm at (0.000, 0.000, 0.397), Ag at (0.500, 0.500, 0.099), Ag at (0.500, 0.500, 0.298) and Hg at (0.500, 0.500, 0.500).

For the volume, the calculation gives 23.21 Å³/atom. The value obtained for the formation energy is -0.38 eV per atom. The calculation puts the uncorrected energy at -37.73 eV for the cell shown.


[17]
## TmAgHg (GGA-PBE)

Data for an optimized crystal structure of TmAgHg.

The space group is F-43m (No. 216) and the conventional cell measures 6.775, 6.775 and 6.775 Å, with angles of 90.00, 90.00 and 90.00 degrees. The inequivalent atoms are Tm at (0.000, 0.000, 0.000), Ag at (0.000, 0.000, 0.500) and Hg at (0.250, 0.250, 0.750).

For the volume, the calculation gives 25.92 Å³/atom. The value obtained for the formation energy is -0.11 eV per atom. The calculation puts the uncorrected energy at -31.69 eV for the cell shown.


[18]
## YTm2Zn3AgHg2 (GGA-PBE)

Data for an optimized crystal structure of YTm2Zn3AgHg2.

The space group is Amm2 (No. 38) and the conventional cell measures 4.012, 12.994 and 7.462 Å, with angles of 90.00, 90.00 and 90.00 degrees. The inequivalent atoms are Y at (0.000, 0.000, 0.000), Tm at (0.000, 0.202, 0.393), Zn at (0.500, 0.000, 0.347), Zn at (0.500, 0.123, 0.717), Ag at (0.000, 0.000, 0.591) and Hg at (0.500, 0.169, 0.095).

For the volume, the calculation gives 21.61 Å³/atom. The value obtained for the formation energy is -0.36 eV per atom. The calculation puts the uncorrected energy at -51.81 eV for the cell shown.


[19]
## AgHg2W (GGA-PBE)

Data for an optimized crystal structure of AgHg2W.

The space group is F-43m (No. 216) and the conventional cell measures 6.768, 6.768 and 6.768 Å, with angles of 90.00, 90.00 and 90.00 degrees. The inequivalent atoms are Ag at (0.000, 0.000, 0.000), Hg at (0.000, 0.000, 0.500), Hg at (0.250, 0.250, 0.250) and W at (0.250, 0.250, 0.750).

For the volume, the calculation gives 19.38 Å³/atom. The value obtained for the formation energy is 0.99 eV per atom. The calculation puts the uncorrected energy at -49.66 eV for the cell shown.


[20]
## Y2AgHg2 (GGA-PBE)

Data for an optimized crystal structure of Y2AgHg2.

The space group is I4/mmm (No. 139) and the conventional cell measures 5.262, 5.262 and 10.364 Å, with angles of 90.00, 90.00 and 90.00 degrees. The inequivalent atoms are Y at (0.000, 0.500, 0.250), Ag at (0.000, 0.000, 0.000) and Hg at (0.000, 0.000, 0.373).

For the volume, the calculation gives 28.70 Å³/atom. The value obtained for the formation energy is 0.06 eV per atom. The calculation puts the uncorrected energy at -32.09 eV for the cell shown.